(1)
Computed, not measured: a geometry-optimized NaNdSO structure at the PBE level of DFT.

Properties
Mass density in g cm⁻³: 4.42
Final energy in eV for the cell shown: -96.0
Magnetization in μB/f.u.: 0.000
E above lowest polymorph in meV per atom: 11

Lattice parameters (Å, degrees): 6.7669 7.5403 6.5113 90.00 103.01 90.00
Last column: nearest neighbours and their distance in Å.
Space group P2_1/c (No. 14)
Asymmetric unit:
Na 0.0912 0.2410 0.4972 x4  1 O 2.36
Nd 0.4421 0.6209 0.7594 x4  3 O 2.32-2.34
S 0.2021 0.5783 0.3261 x4  3 Na 2.83-2.94, 3 Nd 2.88-2.99
O 0.3902 0.1603 0.3907 x4  3 Nd 2.32-2.34, 1 Na 2.36



(2)
Computed, not measured: a geometry-optimized FeAgSbPt structure at the PBE level of DFT.

Properties
Mass density in g cm⁻³: 11.70
Final energy in eV for the cell shown: -83.7
Magnetization in μB/f.u.: 2.674
E above lowest polymorph in meV per atom: 0

Lattice parameters (Å, degrees): 6.4860 6.4860 6.4860 90.00 90.00 90.00
Last column: nearest neighbours and their distance in Å.
Space group F-43m (No. 216)
Asymmetric unit:
Fe 0.0000 0.0000 0.0000 x4  4 Sb 2.81, 4 Ag 2.81
Ag 0.2500 0.2500 0.2500 x4  4 Fe 2.81, 4 Pt 2.81
Sb 0.2500 0.2500 0.7500 x4  4 Fe 2.81, 4 Pt 2.81
Pt 0.0000 0.0000 0.5000 x4  4 Sb 2.81, 4 Ag 2.81



(3)
Computed, not measured: a geometry-optimized CsPrMg structure at the PBE level of DFT.

Properties
Mass density in g cm⁻³: 3.27
Final energy in eV for the cell shown: -19.7
Magnetization in μB/f.u.: 1.631

Lattice parameters (Å, degrees): 8.4604 8.4604 8.4604 90.00 90.00 90.00
Last column: nearest neighbours and their distance in Å.
Space group F-43m (No. 216)
Asymmetric unit:
Cs 0.0000 0.0000 0.0000 x4  4 Mg 3.66
Pr 0.0000 0.0000 0.5000 x4  4 Mg 3.66
Mg 0.2500 0.2500 0.2500 x4  4 Pr 3.66, 4 Cs 3.66



(4)
Computed, not measured: a geometry-optimized Pa2OsO4 structure at the PBE level of DFT.

Properties
Mass density in g cm⁻³: 10.91
Final energy in eV for the cell shown: -452.9
Magnetization in μB/f.u.: 0.003

Lattice parameters (Å, degrees): 9.5546 9.5546 9.5546 90.00 90.00 90.00
Last column: nearest neighbours and their distance in Å.
Space group Fd-3m (No. 227, origin choice 2)
Asymmetric unit:
Pa 0.0000 0.0000 0.0000 x16  6 O 2.33
Os 0.1250 0.1250 0.6250 x8  4 O 2.17
O 0.0061 0.0061 0.2439 x32  1 Os 2.17, 3 Pa 2.33